# SmGdAg4

SmGdAg4 after structural relaxation (PBE, Alexandria).

Computed properties:
Energy of formation = -1.0 eV per formula unit
Space group = F-43m (216)
Total magnetic moment = 7.17 Bohr magnetons per cell

abc: 5.7460 5.7460 5.7460
angles: 60.00 60.00 60.00
Fractional positions:
Sm (0.0000, 0.0000, 0.0000)
Gd (0.2500, 0.2500, 0.2500)
Ag (0.1253, 0.6249, 0.6249)
Ag (0.6249, 0.1253, 0.6249)
Ag (0.6249, 0.6249, 0.1253)
Ag (0.6249, 0.6249, 0.6249)